[1]
## CsK2Ag2 (PBE-GGA)

Data for a relaxed CsK2Ag2 crystal.

abc: 8.361 8.361 8.361
angles: 141.50 141.50 55.58
Fractional positions:
Cs  0.000  0.000  0.000
K  0.250  0.750  0.500
K  0.750  0.250  0.500
Ag  0.405  0.405  0.000
Ag  0.595  0.595  0.000

Output
As for the density: 3.15 g/cm3. The crystal system is tetragonal. For the density of states at the Fermi level, the calculation gives 2.7 states/eV/cell. The value obtained for the magnetization is 0.000 μB per atom. The formation energy comes out at 0.050 eV per atom.


[2]
## Cs12K5Ag2 (PBE-GGA)

Data for a relaxed Cs12K5Ag2 crystal.

abc: 13.669 13.669 13.363
angles: 90.98 90.98 42.28
Fractional positions:
Cs  0.018  0.018  0.333
Cs  0.104  0.594  0.050
Cs  0.124  0.592  0.446
Cs  0.406  0.896  0.950
Cs  0.408  0.876  0.554
Cs  0.476  0.476  0.758
Cs  0.524  0.524  0.242
Cs  0.592  0.124  0.446
Cs  0.594  0.104  0.050
Cs  0.876  0.408  0.554
Cs  0.896  0.406  0.950
Cs  0.982  0.982  0.667
K  0.000  0.000  0.000
K  0.208  0.208  0.257
K  0.280  0.280  0.740
K  0.720  0.720  0.260
K  0.792  0.792  0.743
Ag  0.353  0.647  0.500
Ag  0.647  0.353  0.500

Output
As for the density: 1.98 g/cm3. The crystal system is monoclinic. For the density of states at the Fermi level, the calculation gives 18.1 states/eV/cell. The value obtained for the magnetization is 0.000 μB per atom. The formation energy comes out at 0.031 eV per atom.


[3]
## Cs7K12Ag (PBE-GGA)

Data for a relaxed Cs7K12Ag crystal.

abc: 13.148 13.148 13.148
angles: 111.13 111.13 111.13
Fractional positions:
Cs  0.000  0.000  0.000
Cs  0.199  0.486  0.319
Cs  0.319  0.199  0.486
Cs  0.486  0.319  0.199
Cs  0.514  0.681  0.801
Cs  0.681  0.801  0.514
Cs  0.801  0.514  0.681
K  0.021  0.332  0.557
K  0.114  0.740  0.162
K  0.162  0.114  0.740
K  0.260  0.838  0.886
K  0.332  0.557  0.021
K  0.443  0.979  0.668
K  0.557  0.021  0.332
K  0.668  0.443  0.979
K  0.740  0.162  0.114
K  0.838  0.886  0.260
K  0.886  0.260  0.838
K  0.979  0.668  0.443
Ag  0.500  0.500  0.500

Output
As for the density: 1.53 g/cm3. The crystal system is trigonal. For the density of states at the Fermi level, the calculation gives 16.4 states/eV/cell. The value obtained for the magnetization is 0.000 μB per atom. The formation energy comes out at 0.016 eV per atom.


[4]
## Cs6KAg2 (PBE-GGA)

Data for a relaxed Cs6KAg2 crystal.

abc: 12.068 12.068 12.068
angles: 111.59 108.49 108.36
Fractional positions:
Cs  0.008  0.779  0.229
Cs  0.175  0.308  0.483
Cs  0.175  0.692  0.867
Cs  0.325  0.012  0.687
Cs  0.325  0.638  0.313
Cs  0.450  0.221  0.229
Cs  0.550  0.779  0.771
Cs  0.675  0.362  0.687
Cs  0.675  0.988  0.313
Cs  0.825  0.308  0.133
Cs  0.825  0.692  0.517
Cs  0.992  0.221  0.771
K  0.000  0.000  0.000
K  0.500  0.500  0.000
Ag  0.103  0.603  0.500
Ag  0.396  0.000  0.396
Ag  0.604  0.000  0.604
Ag  0.897  0.397  0.500

Output
As for the density: 2.59 g/cm3. The crystal system is orthorhombic. For the density of states at the Fermi level, the calculation gives 12.6 states/eV/cell. The value obtained for the magnetization is 0.000 μB per atom. The formation energy comes out at 0.027 eV per atom.


[5]
## CsK2Ag2 (PBE-GGA)

Data for a relaxed CsK2Ag2 crystal.

abc: 10.101 10.101 4.076
angles: 90.00 90.00 90.00
Fractional positions:
Cs  0.000  0.000  0.000
Cs  0.500  0.500  0.000
K  0.128  0.372  0.000
K  0.372  0.872  0.000
K  0.628  0.128  0.000
K  0.872  0.628  0.000
Ag  0.169  0.669  0.500
Ag  0.331  0.169  0.500
Ag  0.669  0.831  0.500
Ag  0.831  0.331  0.500

Output
As for the density: 3.41 g/cm3. The crystal system is tetragonal. For the density of states at the Fermi level, the calculation gives 3.8 states/eV/cell. The value obtained for the magnetization is 0.000 μB per atom. The formation energy comes out at 0.075 eV per atom.


[6]
## Cs2KAg2 (PBE-GGA)

Data for a relaxed Cs2KAg2 crystal.

abc: 8.739 8.739 8.739
angles: 141.16 141.16 56.10
Fractional positions:
Cs  0.250  0.750  0.500
Cs  0.750  0.250  0.500
K  0.000  0.000  0.000
Ag  0.409  0.409  0.000
Ag  0.591  0.591  0.000

Output
As for the density: 3.32 g/cm3. The crystal system is tetragonal. For the density of states at the Fermi level, the calculation gives 4.2 states/eV/cell. The value obtained for the magnetization is 0.000 μB per atom. The formation energy comes out at 0.160 eV per atom.


[7]
## Cs5KAg2 (PBE-GGA)

Data for a relaxed Cs5KAg2 crystal.

abc: 13.017 13.017 13.017
angles: 133.70 133.70 67.55
Fractional positions:
Cs  0.000  0.000  0.000
Cs  0.047  0.547  0.833
Cs  0.214  0.047  0.500
Cs  0.286  0.786  0.833
Cs  0.453  0.286  0.500
Cs  0.500  0.500  0.000
Cs  0.547  0.714  0.500
Cs  0.714  0.214  0.167
Cs  0.786  0.953  0.500
Cs  0.953  0.453  0.167
K  0.250  0.250  0.000
K  0.750  0.750  0.000
Ag  0.102  0.398  0.500
Ag  0.398  0.898  0.295
Ag  0.602  0.102  0.705
Ag  0.898  0.602  0.500

Output
As for the density: 2.69 g/cm3. The crystal system is tetragonal. For the density of states at the Fermi level, the calculation gives 7.9 states/eV/cell. The value obtained for the magnetization is 0.000 μB per atom. The formation energy comes out at 0.023 eV per atom.


[8]
## Cs2KAg2 (PBE-GGA)

Data for a relaxed Cs2KAg2 crystal.

abc: 10.150 10.150 4.936
angles: 90.00 90.00 90.00
Fractional positions:
Cs  0.145  0.355  0.000
Cs  0.355  0.855  0.000
Cs  0.645  0.145  0.000
Cs  0.855  0.645  0.000
K  0.000  0.000  0.500
K  0.500  0.500  0.500
Ag  0.155  0.655  0.500
Ag  0.345  0.155  0.500
Ag  0.655  0.845  0.500
Ag  0.845  0.345  0.500

Output
As for the density: 3.40 g/cm3. The crystal system is tetragonal. For the density of states at the Fermi level, the calculation gives 5.4 states/eV/cell. The value obtained for the magnetization is 0.000 μB per atom. The formation energy comes out at 0.058 eV per atom.